Record 1
Material: Tm4HgAsSe2
Method: DFT, PBE
State: optimized geometry

```
Tm4HgAsSe2
1.0
-1.1567 1.6732 3.4460
-2.0124 -6.4513 2.4569
5.5617 -2.9892 3.3183
Se Hg Tm As
2 1 4 1
direct
0.5000 0.0000 0.5000
0.0000 0.0000 0.0000
0.5000 0.5000 0.0000
0.0000 0.7520 0.7438
0.5000 0.7437 0.2585
0.0000 0.2480 0.2562
0.5000 0.2563 0.7415
0.0000 0.5000 0.5000
```

Properties
As for the density of states at the Fermi level: 0.477 states/eV/atom. The electronic total energy is -5.02 eV per atom. As for the space group: No. 10. The value obtained for the magnetization is 0.0 μB/f.u.

=====

Record 2
Material: MgCd2Ag
Method: DFT, PBE
State: optimized geometry

```
MgCd2Ag
1.0
-3.6672 1.8799 -1.1710
0.4815 -1.5414 -3.9825
-2.2235 -3.6298 1.1360
Cd Mg Ag
2 1 1
direct
0.0000 0.0000 0.0000
0.5000 0.5000 0.0000
0.5000 0.0000 0.5000
0.0000 0.5000 0.5000
```

Properties
As for the density of states at the Fermi level: 0.403 states/eV/atom. The electronic total energy is -1.66 eV per atom. As for the space group: No. 47. The value obtained for the formation enthalpy at 0 K is -0.092 eV/atom. The value obtained for the magnetization is 0.0 μB/f.u. The energy above the lowest structure with this stoichiometry is 13 meV/atom.

=====

Record 3
Material: Al2RhAu
Method: DFT, PBE
State: optimized geometry

```
Al2RhAu
1.0
-1.3178 -1.2001 2.4310
7.1881 -0.6354 3.5828
-0.5779 4.6559 1.9853
Au Al Rh
2 4 2
direct
0.0000 0.0000 0.8894
0.5000 0.5000 0.3894
0.5000 0.7414 0.0442
0.0000 0.7586 0.5442
0.0000 0.2414 0.5442
0.5000 0.2586 0.0442
0.0000 0.5000 0.8802
0.5000 0.0000 0.3802
```

Properties
As for the density of states at the Fermi level: 0.218 states/eV/atom. The electronic total energy is -5.08 eV per atom. As for the space group: No. 44. The value obtained for the formation enthalpy at 0 K is -0.549 eV/atom. The value obtained for the magnetization is 0.0 μB/f.u. The energy above the lowest structure with this stoichiometry is 130 meV/atom.

=====

Record 4
Material: TmNi6Pt6
Method: DFT, PBE
State: optimized geometry

```
TmNi6Pt6
1.0
-3.7007 -2.3600 2.2873
-0.3399 -6.3582 -1.7554
1.8937 -2.5450 5.7931
Pt Ni Tm
6 6 1
direct
0.6585 0.3415 0.3415
0.6928 0.8072 0.8072
0.3415 0.6585 0.6585
0.3072 0.1928 0.1928
0.0000 0.3417 0.6583
0.0000 0.6583 0.3417
0.5000 0.2351 0.7649
0.0000 0.5000 0.0000
0.0000 0.0000 0.5000
0.5000 0.5000 0.0000
0.5000 0.7649 0.2351
0.5000 0.0000 0.5000
0.0000 0.0000 0.0000
```

Properties
As for the density of states at the Fermi level: 1.226 states/eV/atom. The electronic total energy is -6.13 eV per atom. As for the space group: No. 71. The value obtained for the formation enthalpy at 0 K is -0.330 eV/atom. The value obtained for the magnetization is 5.4 μB/f.u.

=====

Record 5
Material: Nd2Al3Si
Method: DFT, PBE
State: optimized geometry

```
Nd2Al3Si
1.0
4.2284 0.0000 0.0000
0.0000 4.3251 0.0000
0.0000 0.0000 7.4884
Al Nd Si
3 2 1
direct
0.5000 0.0000 0.8319
0.5000 0.5000 0.6626
0.5000 0.0000 0.1698
0.0000 0.5000 0.0084
0.0000 0.0000 0.4931
0.5000 0.5000 0.3343
```

Properties
As for the density of states at the Fermi level: 0.364 states/eV/atom. The electronic total energy is -4.93 eV per atom. As for the space group: No. 25. The value obtained for the magnetization is 0.0 μB/f.u.

=====

Record 6
Material: ZrTl3Sb2Se6
Method: DFT, PBE
State: optimized geometry

```
ZrTl3Sb2Se6
1.0
7.0526 0.0035 0.0042
-3.5216 6.1105 0.0042
-1.1738 -2.0325 8.0462
Se Sb Tl Zr
6 2 3 1
direct
0.7486 0.7486 0.1981
0.0653 0.3831 0.1969
0.2514 0.2514 0.8019
0.6169 0.9347 0.8031
0.9347 0.6169 0.8031
0.3831 0.0653 0.1969
0.3329 0.6671 0.0000
0.6671 0.3329 0.0000
0.8324 0.1676 0.5000
0.1676 0.8324 0.5000
0.5000 0.5000 0.5000
0.0000 0.0000 0.0000
```

Properties
As for the density of states at the Fermi level: 0.359 states/eV/atom. The electronic total energy is -4.29 eV per atom. As for the space group: No. 12. The value obtained for the magnetization is 0.0 μB/f.u.

=====

Record 7
Material: ZrGe2F8
Method: DFT, PBE
State: optimized geometry

```
ZrGe2F8
1.0
-3.2421 -1.1993 4.0382
2.0715 0.0662 6.8428
-2.9264 4.9282 4.2742
F Zr Ge
8 1 2
direct
0.6907 0.6009 0.6009
0.0205 0.6807 0.0741
0.3093 0.3991 0.3991
0.5039 0.8657 0.8657
0.0205 0.0741 0.6807
0.4961 0.1343 0.1343
0.9795 0.9259 0.3193
0.9795 0.3193 0.9259
0.0000 0.0000 0.0000
0.0294 0.3532 0.3532
0.9706 0.6468 0.6468
```

Properties
As for the density of states at the Fermi level: 0.000 states/eV/atom. The electronic total energy is -5.78 eV per atom. As for the space group: No. 12. The value obtained for the magnetization is 0.0 μB/f.u.

=====

Record 8
Material: Tl4CdSn3
Method: DFT, PBE
State: optimized geometry

```
Tl4CdSn3
1.0
3.3705 -0.0021 -0.4014
-0.0956 4.8974 -0.8289
-0.0784 -0.0565 14.5620
Cd Sn Tl
1 3 4
direct
0.0000 0.5000 0.0000
0.1569 0.1583 0.3165
0.5000 0.0000 0.0000
0.8431 0.8417 0.6835
0.2830 0.2808 0.5617
0.3986 0.4017 0.8035
0.6014 0.5983 0.1965
0.7170 0.7192 0.4383
```

Properties
As for the density of states at the Fermi level: 0.542 states/eV/atom. The electronic total energy is -2.69 eV per atom. As for the space group: No. 12. The value obtained for the formation enthalpy at 0 K is 0.110 eV/atom. The value obtained for the magnetization is 0.0 μB/f.u.

=====

Number 7 is which compound?
ZrGe2F8

=====

Which of these has the highest magnetization?
TmNi6Pt6